Entry 1:
This record from the Alexandria database describes an optimized crystal structure of TbHo7Tm4. The functional is PBE-GGA.

DFT total energy (eV/atom): -4.455
Density of states at the Fermi level (states/eV/cell): 20.70
E_form (meV per atom): 91

Cell and atoms, written as extended XYZ:
```
12
Lattice="6.4131 0.0000 0.0000 0.9449 6.6654 0.0000 2.0809 0.3199 8.6689" Properties=species:S:1:pos:R:3 pbc="T T T"
Tb 0.0000 0.0000 0.0000
Ho 0.4724 3.3327 0.0000
Ho 2.1392 0.8061 3.3503
Ho 4.0144 4.9009 5.5729
Ho 3.4490 1.6870 0.4307
Ho 5.9900 5.2983 8.2382
Ho 5.4246 2.0845 3.0960
Ho 7.2998 6.1793 5.3186
Tm 2.2742 4.1692 2.7308
Tm 3.9589 1.5498 6.1791
Tm 5.4800 5.4356 2.4898
Tm 7.1647 2.8162 5.9381
```

---

Entry 2:
This record from the Alexandria database describes an optimized crystal structure of Tb5Ho2Tm. The functional is PBE-GGA.

DFT total energy (eV/atom): -4.419
Density of states at the Fermi level (states/eV/cell): 23.79
E_form (meV per atom): 179

Cell and atoms, written as extended XYZ:
```
16
Lattice="5.7103 0.0000 0.0000 0.0000 11.1686 0.0000 -2.3938 0.0000 8.0794" Properties=species:S:1:pos:R:3 pbc="T T T"
Tb 0.4494 0.8532 1.6862
Tb 0.4494 4.7311 1.6862
Tb 0.1250 8.3765 4.6710
Tb 0.2230 0.8792 5.0169
Tb 0.2230 4.7052 5.0169
Tb 3.0934 6.4635 3.0625
Tb 3.0934 10.2895 3.0625
Tb 3.1914 2.7922 3.4084
Tb 2.8670 6.4376 6.3932
Tb 2.8670 10.3154 6.3932
Ho -0.0986 6.8958 7.7943
Ho -0.0986 9.8572 7.7943
Ho 3.4151 1.3114 0.2851
Ho 3.4151 4.2729 0.2851
Tm -2.0146 2.7922 6.8636
Tm 5.3310 8.3765 1.2158
```

---

Entry 3:
This record from the Alexandria database describes an optimized crystal structure of Tb4Ho2Tm5. The functional is PBE-GGA.

DFT total energy (eV/atom): -4.313
Density of states at the Fermi level (states/eV/cell): 17.38
E_form (meV per atom): 236

Cell and atoms, written as extended XYZ:
```
11
Lattice="11.6338 -1.7449 0.0000 11.6338 1.7449 0.0000 -1.7979 0.0000 8.6871" Properties=species:S:1:pos:R:3 pbc="T T T"
Tb 0.0976 0.0000 1.6657
Tb 7.1069 0.0000 8.5127
Tb 14.3629 0.0000 0.1744
Tb 21.3722 0.0000 7.0214
Ho 1.2551 0.0000 5.9486
Ho 20.2147 0.0000 2.7385
Tm 3.4736 0.0000 3.4079
Tm 4.0317 0.0000 7.2198
Tm 10.7349 0.0000 4.3435
Tm 17.4381 0.0000 1.4673
Tm 17.9962 0.0000 5.2792
```

---

Entry 4:
This record from the Alexandria database describes an optimized crystal structure of Tb12HoTm6. The functional is PBE-GGA.

DFT total energy (eV/atom): -4.424
Density of states at the Fermi level (states/eV/cell): 33.70
E_form (meV per atom): 153

Cell and atoms, written as extended XYZ:
```
19
Lattice="5.9081 3.4111 5.0197 -5.9081 3.4111 5.0197 0.0000 -6.8221 5.0197" Properties=species:S:1:pos:R:3 pbc="T T T"
Tb -1.1124 -1.7236 2.8760
Tb -0.9365 1.8251 2.8760
Tb -1.3956 -1.5349 6.2641
Tb 2.0489 -0.1015 2.8760
Tb -2.0271 0.4411 8.7948
Tb -0.6315 1.9761 6.2642
Tb 0.6315 -1.9761 8.7948
Tb 2.0271 -0.4411 6.2642
Tb -2.0489 0.1015 12.1830
Tb 1.3956 1.5349 8.7948
Tb 0.9365 -1.8251 12.1830
Tb 1.1124 1.7236 12.1830
Ho 0.0000 0.0000 0.0000
Tm -3.5426 0.9382 5.2674
Tm 0.9589 -3.5371 5.2674
Tm -2.5838 -2.5989 9.7916
Tm 2.5838 2.5989 5.2674
Tm -0.9589 3.5371 9.7916
Tm 3.5426 -0.9382 9.7916
```

---

Entry 5:
This record from the Alexandria database describes an optimized crystal structure of Tb6Ho3Tm. The functional is PBE-GGA.

DFT total energy (eV/atom): -4.451
Density of states at the Fermi level (states/eV/cell): 27.91
E_form (meV per atom): 148

Cell and atoms, written as extended XYZ:
```
20
Lattice="5.4681 -9.4539 0.0000 5.4681 9.4539 0.0000 0.0000 0.0000 6.1642" Properties=species:S:1:pos:R:3 pbc="T T T"
Tb 5.4681 8.5857 3.0821
Tb 2.8188 3.9725 5.7950
Tb 5.4681 4.1666 1.4018
Tb 3.6625 0.8660 0.7397
Tb 3.6625 -0.8660 3.8218
Tb 2.8188 -3.9725 2.7129
Tb 8.1175 3.9725 5.7950
Tb 7.2737 0.8660 0.7397
Tb 7.2737 -0.8660 3.8218
Tb 5.4681 -4.1666 4.4840
Tb 8.1175 -3.9725 2.7129
Tb 5.4681 -8.5857 0.0000
Ho 1.8443 2.0774 3.3356
Ho 1.8443 -2.0774 0.2535
Ho 5.4681 2.0946 4.0231
Ho 5.4681 -2.0946 0.9409
Ho 9.0920 2.0774 3.3356
Ho 9.0920 -2.0774 0.2535
Tm 5.4681 5.5812 4.4332
Tm 5.4681 -5.5812 1.3511
```

---

Entry 6:
This record from the Alexandria database describes an optimized crystal structure of Tb4HoTm5. The functional is PBE-GGA.

DFT total energy (eV/atom): -4.488
Density of states at the Fermi level (states/eV/cell): 17.51
E_form (meV per atom): 57

Cell and atoms, written as extended XYZ:
```
10
Lattice="3.5225 0.0000 0.0000 -1.7157 6.4673 0.0000 -0.1748 -1.9323 13.6258" Properties=species:S:1:pos:R:3 pbc="T T T"
Tb 0.0532 0.7492 4.1857
Tb -0.0898 0.7117 9.7226
Tb 1.7217 3.8232 3.9032
Tb 1.5787 3.7858 9.4401
Ho -0.9453 2.2675 6.8129
Tm 0.0119 2.2688 1.1340
Tm 0.0501 5.7321 1.5416
Tm 1.6738 -0.9662 6.8129
Tm 1.5818 -1.1971 12.0842
Tm 1.6201 2.2662 12.4918
```

---

Entry 7:
This record from the Alexandria database describes an optimized crystal structure of Tb8Ho2Tm3. The functional is PBE-GGA.

DFT total energy (eV/atom): -4.359
Density of states at the Fermi level (states/eV/cell): 20.21
E_form (meV per atom): 227

Cell and atoms, written as extended XYZ:
```
13
Lattice="3.7909 -10.0362 0.0000 3.7909 10.0362 0.0000 0.0000 0.0000 5.5708" Properties=species:S:1:pos:R:3 pbc="T T T"
Tb 3.7909 7.3914 0.0000
Tb 2.1999 2.1466 2.7854
Tb 3.7909 3.3683 0.0000
Tb 2.1999 -2.1466 2.7854
Tb 5.3819 2.1466 2.7854
Tb 3.7909 -3.3683 0.0000
Tb 5.3819 -2.1466 2.7854
Tb 3.7909 -7.3914 0.0000
Ho 3.7909 5.2021 2.7854
Ho 3.7909 -5.2021 2.7854
Tm 0.0000 0.0000 2.7854
Tm 2.1586 0.0000 0.0000
Tm 5.4231 0.0000 0.0000
```

---

Entry 8:
This record from the Alexandria database describes an optimized crystal structure of Tb2HoTm9. The functional is PBE-GGA.

DFT total energy (eV/atom): -4.445
Density of states at the Fermi level (states/eV/cell): 20.06
E_form (meV per atom): 62

Cell and atoms, written as extended XYZ:
```
12
Lattice="11.0515 0.0000 0.0000 -5.5257 9.5709 0.0000 0.0000 0.0000 3.4572" Properties=species:S:1:pos:R:3 pbc="T T T"
Tb 0.0000 6.3806 0.0000
Tb 5.5257 3.1903 0.0000
Ho 0.0000 0.0000 0.0000
Tm -2.7629 4.7854 0.0000
Tm 0.0000 3.3724 1.7286
Tm -2.6051 7.8846 1.7286
Tm 2.9206 1.6862 1.7286
Tm 5.5257 0.0000 0.0000
Tm 2.7629 4.7854 0.0000
Tm 2.6051 7.8846 1.7286
Tm 8.1309 1.6862 1.7286
Tm 5.5257 6.1984 1.7286
```